The following is a DFT calculation (GGA-PBE) of a relaxed structure of MoC2Cl.

Structure (extended XYZ):
```
4
Lattice="0.000 2.792 2.792 2.792 0.000 2.792 2.792 2.792 0.000" Properties=species:S:1:pos:R:3 pbc="T T T"
Mo 2.792 2.792 2.792
C 1.396 1.396 1.396
C 4.188 4.188 4.188
Cl 0.000 0.000 0.000
```

Calculated volume (Å³/cell): 43.5
E_form (uncorrected) (meV/atom): 2550
Total moment (μB per formula unit): 0.0

The following is a DFT calculation (GGA-PBE) of a relaxed structure of MoC2Cl.

Structure (extended XYZ):
```
8
Lattice="-3.201 -3.908 -1.677 2.383 -3.387 3.344 -3.657 -2.486 4.325" Properties=species:S:1:pos:R:3 pbc="T T T"
Mo 0.000 0.000 0.000
Mo -3.633 -5.021 1.740
C -2.979 -3.930 0.261
C 0.538 -2.785 3.151
C -3.319 -4.217 3.490
C -3.188 -8.632 5.081
Cl -0.409 -3.648 0.833
Cl -0.841 -4.760 4.251
```

Calculated volume (Å³/cell): 139.1
E_form (uncorrected) (meV/atom): 1434
Total moment (μB per formula unit): 0.0

The following is a DFT calculation (GGA-PBE) of a relaxed structure of MoC3Cl.

Structure (extended XYZ):
```
5
Lattice="-0.546 0.473 -3.599 0.465 -3.601 -0.544 -3.600 -0.537 0.475" Properties=species:S:1:pos:R:3 pbc="T T T"
Mo -1.841 -1.832 -1.834
C 0.232 -1.800 -0.272
C -1.800 -0.268 0.238
C -0.273 0.236 -1.800
Cl 0.000 0.000 0.000
```

Calculated volume (Å³/cell): 49.5
E_form (uncorrected) (meV/atom): 3185
Total moment (μB per formula unit): 0.0

The following is a DFT calculation (GGA-PBE) of a relaxed structure of Mo2CCl.

Structure (extended XYZ):
```
4
Lattice="-0.363 -1.407 3.829 -3.711 -0.749 1.563 -1.204 -3.859 0.658" Properties=species:S:1:pos:R:3 pbc="T T T"
Mo -1.320 -1.504 1.513
Mo -3.959 -4.511 4.538
C 0.000 0.000 0.000
Cl -2.639 -3.008 3.025
```

Calculated volume (Å³/cell): 48.6
E_form (uncorrected) (meV/atom): 1025
Total moment (μB per formula unit): 0.0

The following is a DFT calculation (GGA-PBE) of a relaxed structure of MoPb2CCl.

Structure (extended XYZ):
```
5
Lattice="5.503 0.000 0.000 0.000 4.537 0.000 0.000 0.000 5.503" Properties=species:S:1:pos:R:3 pbc="T T T"
Pb 0.000 0.000 2.752
Pb 2.752 0.000 0.000
Mo 0.000 0.000 0.000
C 2.752 2.268 2.752
Cl 0.000 2.268 0.000
```

Calculated volume (Å³/cell): 137.4
E_form (uncorrected) (meV/atom): 1503
Total moment (μB per formula unit): 2.3

The following is a DFT calculation (GGA-PBE) of a relaxed structure of RbMoC2Cl.

Structure (extended XYZ):
```
5
Lattice="-3.042 4.027 0.615 -0.434 -0.990 4.341 4.044 2.892 1.064" Properties=species:S:1:pos:R:3 pbc="T T T"
Mo -0.217 -0.495 2.171
C 2.022 1.446 0.532
C -1.521 2.014 0.307
Rb 0.284 2.965 3.010
Cl 0.000 0.000 0.000
```

Calculated volume (Å³/cell): 115.7
E_form (uncorrected) (meV/atom): 2747
Total moment (μB per formula unit): 0.1

The following is a DFT calculation (GGA-PBE) of a relaxed structure of MoCSCl2.

Structure (extended XYZ):
```
5
Lattice="-2.944 -2.826 -2.616 -2.356 -1.283 4.037 -2.907 3.554 -0.568" Properties=species:S:1:pos:R:3 pbc="T T T"
C -4.104 -0.277 0.427
Mo 0.000 0.000 0.000
S -1.454 1.777 -0.284
Cl -1.178 -0.641 2.019
Cl -1.472 -1.413 -1.308
```

Calculated volume (Å³/cell): 108.7
E_form (uncorrected) (meV/atom): 1176
Total moment (μB per formula unit): 3.2

The following is a DFT calculation (GGA-PBE) of a relaxed structure of MoCSCl2.

Structure (extended XYZ):
```
5
Lattice="-2.012 0.572 3.611 3.534 -0.754 2.088 0.930 4.029 -0.120" Properties=species:S:1:pos:R:3 pbc="T T T"
C 0.000 0.000 0.000
Mo 1.226 1.924 2.790
S 0.465 2.014 -0.060
Cl 1.767 -0.377 1.044
Cl -1.006 0.286 1.806
```

Calculated volume (Å³/cell): 72.0
E_form (uncorrected) (meV/atom): 1549
Total moment (μB per formula unit): 0.0

The following is a DFT calculation (GGA-PBE) of a relaxed structure of Sb2MoCCl.

Structure (extended XYZ):
```
5
Lattice="5.270 0.000 0.000 0.000 4.644 0.000 0.000 0.000 5.270" Properties=species:S:1:pos:R:3 pbc="T T T"
Sb 0.000 0.000 2.635
Sb 2.635 0.000 0.000
Mo 0.000 0.000 0.000
C 2.635 2.322 2.635
Cl 0.000 2.322 0.000
```

Calculated volume (Å³/cell): 129.0
E_form (uncorrected) (meV/atom): 1507
Total moment (μB per formula unit): 2.1

The following is a DFT calculation (GGA-PBE) of a relaxed structure of MoC2SeCl.

Structure (extended XYZ):
```
5
Lattice="-0.570 0.353 3.577 -2.259 -5.190 0.153 3.288 -1.412 0.664" Properties=species:S:1:pos:R:3 pbc="T T T"
Mo 0.229 -3.124 2.197
C 1.644 -0.706 0.332
C -0.285 0.177 1.788
Se -1.130 -2.595 0.076
Cl 0.000 0.000 0.000
```

Calculated volume (Å³/cell): 75.0
E_form (uncorrected) (meV/atom): 2789
Total moment (μB per formula unit): 0.0

The following is a DFT calculation (GGA-PBE) of a relaxed structure of TiMo2CCl.

Structure (extended XYZ):
```
5
Lattice="4.358 0.000 0.000 0.000 4.343 0.000 0.000 0.000 4.358" Properties=species:S:1:pos:R:3 pbc="T T T"
Mo 0.000 0.000 2.179
Mo 2.179 0.000 0.000
Cl 0.000 0.000 0.000
C 2.179 2.171 2.179
Ti 0.000 2.171 0.000
```

Calculated volume (Å³/cell): 82.5
E_form (uncorrected) (meV/atom): 1893
Total moment (μB per formula unit): 0.0

The following is a DFT calculation (GGA-PBE) of a relaxed structure of TlMo2CCl.

Structure (extended XYZ):
```
5
Lattice="4.406 0.000 0.000 0.000 5.683 0.000 0.000 0.000 4.406" Properties=species:S:1:pos:R:3 pbc="T T T"
C 2.203 2.841 2.203
Tl 0.000 2.841 0.000
Mo 0.000 0.000 2.203
Mo 2.203 0.000 0.000
Cl 0.000 0.000 0.000
```

Calculated volume (Å³/cell): 110.3
E_form (uncorrected) (meV/atom): 2451
Total moment (μB per formula unit): 1.6

Number 1: N(E_F) 1.047 states/eV/atom. Number 2: N(E_F) 0.798 states/eV/atom. Number 3: N(E_F) 0.935 states/eV/atom. Number 4: N(E_F) 0.804 states/eV/atom. Number 5: N(E_F) 0.492 states/eV/atom. Number 6: N(E_F) 0.438 states/eV/atom. Number 7: N(E_F) 0.844 states/eV/atom. Number 8: N(E_F) 0.961 states/eV/atom. Number 9: N(E_F) 0.624 states/eV/atom. Number 10: N(E_F) 0.807 states/eV/atom. Number 11: N(E_F) 1.115 states/eV/atom. Number 12: N(E_F) 0.960 states/eV/atom.